No. 1
First-principles (GGA-PBE) data for crystalline Pr6NdTl4 at its relaxed geometry, as listed in Alexandria.

a b c (Å): 8.0772 8.0772 12.1507
angles (deg): 90.00 90.00 90.00
Space group I-42m (No. 121)
Asymmetric unit:
Pr  0.0000  0.5000  0.0000 (multiplicity 4)
Pr  0.1881  0.1881  0.2836 (multiplicity 8)
Nd  0.0000  0.0000  0.0000 (multiplicity 2)
Tl  0.1648  0.1648  0.5683 (multiplicity 8)

Results
**M_tot**: 0.001 μB/cell
**Formation enthalpy at 0 K**: -0.085 eV per atom


No. 2
First-principles (GGA-PBE) data for crystalline Pr2Nd2Tl3 at its relaxed geometry, as listed in Alexandria.

a b c (Å): 3.6417 33.1659 3.6250
angles (deg): 90.00 90.00 90.00
Space group Cmmm (No. 65)
Asymmetric unit:
Pr  0.0000  0.2007  0.0000 (multiplicity 4)
Nd  0.0000  0.0674  0.0000 (multiplicity 4)
Tl  0.0000  0.3650  0.5000 (multiplicity 4)
Tl  0.0000  0.5000  0.5000 (multiplicity 2)

Results
**M_tot**: 0.000 μB/cell
**Formation enthalpy at 0 K**: -0.268 eV per atom


No. 3
First-principles (GGA-PBE) data for crystalline Pr6Nd2Tl3 at its relaxed geometry, as listed in Alexandria.

a b c (Å): 4.6854 4.6854 34.8973
angles (deg): 90.00 90.00 90.00
Space group I4/mmm (No. 139)
Asymmetric unit:
Pr  0.0000  0.0000  0.2138 (multiplicity 4)
Pr  0.0000  0.5000  0.1261 (multiplicity 8)
Nd  0.0000  0.0000  0.0430 (multiplicity 4)
Tl  0.0000  0.0000  0.3064 (multiplicity 4)
Tl  0.0000  0.0000  0.5000 (multiplicity 2)

Results
**M_tot**: 0.000 μB/cell
**Formation enthalpy at 0 K**: 0.010 eV per atom


No. 4
First-principles (GGA-PBE) data for crystalline PrNd5Tl8 at its relaxed geometry, as listed in Alexandria.

a b c (Å): 9.5183 9.5183 9.5554
angles (deg): 90.00 90.00 90.00
Space group I-4 (No. 82)
Asymmetric unit:
Pr  0.0000  0.0000  0.0000 (multiplicity 2)
Nd  0.0000  0.5000  0.7500 (multiplicity 2)
Nd  0.1263  0.7498  0.3741 (multiplicity 8)
Tl  0.0830  0.6655  0.0423 (multiplicity 8)
Tl  0.0832  0.8332  0.7058 (multiplicity 8)

Results
**M_tot**: 0.000 μB/cell
**Formation enthalpy at 0 K**: -0.306 eV per atom


No. 5
First-principles (GGA-PBE) data for crystalline Pr4Nd4Tl at its relaxed geometry, as listed in Alexandria.

a b c (Å): 11.0382 11.0382 5.0618
angles (deg): 90.00 90.00 90.00
Space group I4/mmm (No. 139)
Asymmetric unit:
Pr  0.1612  0.1612  0.0000 (multiplicity 8)
Nd  0.0000  0.3340  0.5000 (multiplicity 8)
Tl  0.0000  0.0000  0.5000 (multiplicity 2)

Results
**M_tot**: 0.000 μB/cell
**Formation enthalpy at 0 K**: -0.042 eV per atom


No. 6
First-principles (GGA-PBE) data for crystalline Pr7NdTl4 at its relaxed geometry, as listed in Alexandria.

a b c (Å): 15.0084 5.9700 10.7472
angles (deg): 90.00 123.10 90.00
Space group C2/m (No. 12)
Asymmetric unit:
Pr  0.0000  0.0000  0.0000 (multiplicity 2)
Pr  0.0610  0.5000  0.3927 (multiplicity 4)
Pr  0.2034  0.5000  0.8817 (multiplicity 4)
Pr  0.2235  0.0000  0.6605 (multiplicity 4)
Nd  0.0000  0.5000  0.0000 (multiplicity 2)
Tl  0.0569  0.0000  0.7472 (multiplicity 4)
Tl  0.1870  0.0000  0.3331 (multiplicity 4)

Results
**M_tot**: 0.000 μB/cell
**Formation enthalpy at 0 K**: -0.086 eV per atom


No. 7
First-principles (GGA-PBE) data for crystalline Pr9Nd4Tl11 at its relaxed geometry, as listed in Alexandria.

a b c (Å): 18.2335 21.8840 3.6747
angles (deg): 90.00 90.00 90.00
Space group Cmmm (No. 65)
Asymmetric unit:
Pr  0.0000  0.0000  0.0000 (multiplicity 2)
Pr  0.1182  0.2389  0.0000 (multiplicity 8)
Pr  0.1179  0.4113  0.0000 (multiplicity 8)
Nd  0.1533  0.0840  0.0000 (multiplicity 8)
Tl  0.0000  0.1371  0.5000 (multiplicity 4)
Tl  0.0000  0.3261  0.5000 (multiplicity 4)
Tl  0.0000  0.5000  0.5000 (multiplicity 2)
Tl  0.2329  0.5000  0.5000 (multiplicity 4)
Tl  0.2407  0.3252  0.5000 (multiplicity 8)

Results
**M_tot**: 0.000 μB/cell
**Formation enthalpy at 0 K**: -0.319 eV per atom


No. 8
First-principles (GGA-PBE) data for crystalline Pr3Nd7Tl2 at its relaxed geometry, as listed in Alexandria.

a b c (Å): 5.8729 3.7020 18.9351
angles (deg): 90.00 94.06 90.00
Space group P2/m (No. 10)
Asymmetric unit:
Pr  0.0000  0.0000  0.0000 (multiplicity 1)
Pr  0.2836  0.5000  0.6422 (multiplicity 2)
Nd  0.1807  0.5000  0.1543 (multiplicity 2)
Nd  0.2415  0.0000  0.4656 (multiplicity 2)
Nd  0.3151  0.0000  0.8324 (multiplicity 2)
Nd  0.5000  0.5000  0.0000 (multiplicity 1)
Tl  0.2005  0.0000  0.2974 (multiplicity 2)

Results
**M_tot**: 0.000 μB/cell
**Formation enthalpy at 0 K**: -0.030 eV per atom


No. 9
First-principles (GGA-PBE) data for crystalline Pr5Nd12Tl2 at its relaxed geometry, as listed in Alexandria.

a b c (Å): 15.8322 9.5315 8.7541
angles (deg): 90.00 93.52 90.00
Space group C2/m (No. 12)
Asymmetric unit:
Pr  0.0000  0.0000  0.0000 (multiplicity 2)
Pr  0.1884  0.5000  0.5078 (multiplicity 4)
Pr  0.2334  0.0000  0.0833 (multiplicity 4)
Nd  0.0550  0.5000  0.8189 (multiplicity 4)
Nd  0.0790  0.0000  0.3846 (multiplicity 4)
Nd  0.1244  0.3070  0.1635 (multiplicity 8)
Nd  0.1464  0.1839  0.7366 (multiplicity 8)
Tl  0.0000  0.3162  0.5000 (multiplicity 4)

Results
**M_tot**: 0.000 μB/cell
**Formation enthalpy at 0 K**: -0.002 eV per atom


No. 10
First-principles (GGA-PBE) data for crystalline Pr5Nd2Tl at its relaxed geometry, as listed in Alexandria.

a b c (Å): 3.5864 11.4843 13.3197
angles (deg): 90.00 90.00 90.00
Space group Immm (No. 71)
Asymmetric unit:
Pr  0.0000  0.0000  0.0000 (multiplicity 2)
Pr  0.0000  0.2611  0.3701 (multiplicity 8)
Nd  0.0000  0.0000  0.2682 (multiplicity 4)
Tl  0.0000  0.5000  0.0000 (multiplicity 2)

Results
**M_tot**: 0.000 μB/cell
**Formation enthalpy at 0 K**: -0.011 eV per atom


No. 11
First-principles (GGA-PBE) data for crystalline Pr5Nd2Tl4 at its relaxed geometry, as listed in Alexandria.

a b c (Å): 8.9079 3.5809 10.8623
angles (deg): 90.00 95.76 90.00
Space group P2/m (No. 10)
Asymmetric unit:
Pr  0.0000  0.0000  0.0000 (multiplicity 1)
Pr  0.0360  0.0000  0.3343 (multiplicity 2)
Pr  0.3403  0.0000  0.8591 (multiplicity 2)
Nd  0.4138  0.0000  0.3626 (multiplicity 2)
Tl  0.2540  0.5000  0.5799 (multiplicity 2)
Tl  0.2979  0.5000  0.1197 (multiplicity 2)

Results
**M_tot**: 0.001 μB/cell
**Formation enthalpy at 0 K**: -0.212 eV per atom


No. 12
First-principles (GGA-PBE) data for crystalline PrNd3Tl4 at its relaxed geometry, as listed in Alexandria.

a b c (Å): 3.9145 3.9145 15.6518
angles (deg): 90.00 90.00 90.00
Space group P4/mmm (No. 123)
Asymmetric unit:
Pr  0.0000  0.0000  0.0000 (multiplicity 1)
Nd  0.0000  0.0000  0.2512 (multiplicity 2)
Nd  0.0000  0.0000  0.5000 (multiplicity 1)
Tl  0.5000  0.5000  0.1272 (multiplicity 2)
Tl  0.5000  0.5000  0.3756 (multiplicity 2)

Results
**M_tot**: 0.000 μB/cell
**Formation enthalpy at 0 K**: -0.394 eV per atom


No. 13
First-principles (GGA-PBE) data for crystalline Pr2Nd4Tl at its relaxed geometry, as listed in Alexandria.

a b c (Å): 6.6988 6.4766 11.0377
angles (deg): 90.00 90.00 90.00
Space group Pmna (No. 53)
Asymmetric unit:
Pr  0.0000  0.2448  0.0419 (multiplicity 4)
Nd  0.0000  0.0704  0.3462 (multiplicity 4)
Nd  0.2500  0.3946  0.7500 (multiplicity 4)
Tl  0.0000  0.5000  0.5000 (multiplicity 2)

Results
**M_tot**: 0.001 μB/cell
**Formation enthalpy at 0 K**: -0.017 eV per atom


No. 14
First-principles (GGA-PBE) data for crystalline PrNd4Tl at its relaxed geometry, as listed in Alexandria.

a b c (Å): 3.7142 3.7142 14.7130
angles (deg): 90.00 90.00 90.00
Space group P4/mmm (No. 123)
Asymmetric unit:
Pr  0.0000  0.0000  0.0000 (multiplicity 1)
Nd  0.0000  0.0000  0.3542 (multiplicity 2)
Nd  0.5000  0.5000  0.1782 (multiplicity 2)
Tl  0.5000  0.5000  0.5000 (multiplicity 1)

Results
**M_tot**: 0.000 μB/cell
**Formation enthalpy at 0 K**: -0.107 eV per atom


No. 15
First-principles (GGA-PBE) data for crystalline Pr2Nd7Tl2 at its relaxed geometry, as listed in Alexandria.

a b c (Å): 3.8781 17.6785 11.2518
angles (deg): 90.00 90.00 90.00
Space group Imm2 (No. 44)
Asymmetric unit:
Pr  0.0000  0.0000  0.0000 (multiplicity 2)
Pr  0.0000  0.5000  0.1949 (multiplicity 2)
Nd  0.0000  0.0000  0.3826 (multiplicity 2)
Nd  0.0000  0.1623  0.8027 (multiplicity 4)
Nd  0.0000  0.3341  0.0336 (multiplicity 4)
Nd  0.0000  0.3381  0.5818 (multiplicity 4)
Tl  0.0000  0.1854  0.3061 (multiplicity 4)

Results
**M_tot**: 0.000 μB/cell
**Formation enthalpy at 0 K**: -0.029 eV per atom


No. 16
First-principles (GGA-PBE) data for crystalline Pr4Nd15Tl at its relaxed geometry, as listed in Alexandria.

a b c (Å): 5.1488 5.1488 26.1627
angles (deg): 90.00 90.00 90.00
Space group P4/mmm (No. 123)
Asymmetric unit:
Pr  0.0000  0.0000  0.1006 (multiplicity 2)
Pr  0.0000  0.0000  0.3030 (multiplicity 2)
Nd  0.0000  0.5000  0.0000 (multiplicity 2)
Nd  0.0000  0.5000  0.2023 (multiplicity 4)
Nd  0.0000  0.5000  0.4044 (multiplicity 4)
Nd  0.5000  0.5000  0.1015 (multiplicity 2)
Nd  0.5000  0.5000  0.3043 (multiplicity 2)
Nd  0.5000  0.5000  0.5000 (multiplicity 1)
Tl  0.0000  0.0000  0.5000 (multiplicity 1)

Results
**M_tot**: 0.000 μB/cell
**Formation enthalpy at 0 K**: -0.023 eV per atom


No. 17
First-principles (GGA-PBE) data for crystalline PrNd6Tl3 at its relaxed geometry, as listed in Alexandria.

a b c (Å): 10.8170 15.8016 7.9618
angles (deg): 90.00 90.00 90.00
Space group Cmc2_1 (No. 36)
Asymmetric unit:
Pr  0.0000  0.2117  0.0000 (multiplicity 4)
Nd  0.0000  0.0477  0.7094 (multiplicity 4)
Nd  0.0000  0.2990  0.5409 (multiplicity 4)
Nd  0.2312  0.4653  0.5201 (multiplicity 8)
Nd  0.2344  0.3108  0.2063 (multiplicity 8)
Tl  0.0000  0.4448  0.2285 (multiplicity 4)
Tl  0.1481  0.1320  0.3465 (multiplicity 8)

Results
**M_tot**: 0.001 μB/cell
**Formation enthalpy at 0 K**: -0.114 eV per atom


No. 18
First-principles (GGA-PBE) data for crystalline Pr6Nd3Tm2Tl at its relaxed geometry, as listed in Alexandria.

a b c (Å): 6.3060 10.9927 11.9202
angles (deg): 90.00 100.58 90.00
Space group C2/m (No. 12)
Asymmetric unit:
Pr  0.2425  0.1636  0.2417 (multiplicity 8)
Pr  0.2472  0.0000  0.7552 (multiplicity 4)
Nd  0.0000  0.1694  0.5000 (multiplicity 4)
Nd  0.0000  0.5000  0.5000 (multiplicity 2)
Tm  0.0000  0.3347  0.0000 (multiplicity 4)
Tl  0.0000  0.0000  0.0000 (multiplicity 2)

Results
**M_tot**: 0.006 μB/cell
**Formation enthalpy at 0 K**: 0.000 eV per atom


No. 19
First-principles (GGA-PBE) data for crystalline Pr2Nd6Tm3Tl at its relaxed geometry, as listed in Alexandria.

a b c (Å): 6.2158 10.7839 11.9271
angles (deg): 90.00 100.03 90.00
Space group C2/m (No. 12)
Asymmetric unit:
Pr  0.0000  0.1664  0.0000 (multiplicity 4)
Nd  0.2416  0.5000  0.7455 (multiplicity 4)
Nd  0.2477  0.3368  0.2539 (multiplicity 8)
Tm  0.0000  0.0000  0.5000 (multiplicity 2)
Tm  0.0000  0.3330  0.5000 (multiplicity 4)
Tl  0.0000  0.5000  0.0000 (multiplicity 2)

Results
**M_tot**: 0.000 μB/cell
**Formation enthalpy at 0 K**: -0.027 eV per atom


No. 20
First-principles (GGA-PBE) data for crystalline Pr2NdTmTl2 at its relaxed geometry, as listed in Alexandria.

a b c (Å): 5.1894 10.2542 7.0347
angles (deg): 90.00 90.00 90.00
Space group Pmc2_1 (No. 26)
Asymmetric unit:
Pr  0.0000  0.0490  0.0000 (multiplicity 2)
Pr  0.5000  0.1827  0.2773 (multiplicity 2)
Nd  0.5000  0.4536  0.9018 (multiplicity 2)
Tm  0.0000  0.3122  0.6144 (multiplicity 2)
Tl  0.0000  0.3772  0.1668 (multiplicity 2)
Tl  0.5000  0.1452  0.7387 (multiplicity 2)

Results
**M_tot**: 0.001 μB/cell
**Formation enthalpy at 0 K**: -0.267 eV per atom